No. 1
DFT (PBE) results for RbMgCd2In2 after structural relaxation.

Its formation energy is -0.07 eV/atom. The symmetry is P-3m1.

a = 4.992 Å, b = 4.992 Å, c = 8.718 Å
α = 90.00°, β = 90.00°, γ = 120.00°
Positions (direct):
Rb  0.000  0.000  0.000
Mg  0.000  0.000  0.500
Cd  0.333  0.667  0.674
Cd  0.667  0.333  0.326
In  0.333  0.667  0.312
In  0.667  0.333  0.688


No. 2
DFT (PBE) results for Tl3Pd5I12 after structural relaxation.

The uncorrected formation energy is -226 meV per atom. The symmetry is Ia-3d.

a = 15.662 Å, b = 15.662 Å, c = 15.662 Å
α = 109.47°, β = 109.47°, γ = 109.47°
Positions (direct):
Tl  0.125  0.250  0.375
Tl  0.125  0.375  0.750
Tl  0.250  0.375  0.125
Tl  0.250  0.875  0.625
Tl  0.375  0.125  0.250
Tl  0.375  0.750  0.125
Tl  0.625  0.250  0.875
Tl  0.625  0.875  0.750
Tl  0.750  0.125  0.375
Tl  0.750  0.625  0.875
Tl  0.875  0.625  0.250
Tl  0.875  0.750  0.625
Pd  0.000  0.000  0.000
Pd  0.000  0.000  0.500
Pd  0.000  0.500  0.000
Pd  0.000  0.500  0.500
Pd  0.125  0.750  0.875
Pd  0.125  0.875  0.250
Pd  0.250  0.125  0.875
Pd  0.250  0.625  0.375
Pd  0.375  0.250  0.625
Pd  0.375  0.625  0.750
Pd  0.500  0.000  0.000
Pd  0.500  0.000  0.500
Pd  0.500  0.500  0.000
Pd  0.500  0.500  0.500
Pd  0.625  0.375  0.250
Pd  0.625  0.750  0.375
Pd  0.750  0.375  0.625
Pd  0.750  0.875  0.125
Pd  0.875  0.125  0.750
Pd  0.875  0.250  0.125
I  0.014  0.190  0.111
I  0.014  0.324  0.903
I  0.079  0.690  0.676
I  0.079  0.889  0.403
I  0.097  0.611  0.421
I  0.097  0.986  0.676
I  0.111  0.014  0.190
I  0.111  0.597  0.921
I  0.176  0.190  0.579
I  0.176  0.486  0.597
I  0.190  0.111  0.014
I  0.190  0.579  0.176
I  0.310  0.324  0.921
I  0.310  0.486  0.389
I  0.324  0.903  0.014
I  0.324  0.921  0.310
I  0.389  0.310  0.486
I  0.389  0.579  0.903
I  0.403  0.079  0.889
I  0.403  0.824  0.514
I  0.421  0.097  0.611
I  0.421  0.824  0.810
I  0.486  0.389  0.310
I  0.486  0.597  0.176
I  0.514  0.403  0.824
I  0.514  0.611  0.690
I  0.579  0.176  0.190
I  0.579  0.903  0.389
I  0.597  0.176  0.486
I  0.597  0.921  0.111
I  0.611  0.421  0.097
I  0.611  0.690  0.514
I  0.676  0.079  0.690
I  0.676  0.097  0.986
I  0.690  0.514  0.611
I  0.690  0.676  0.079
I  0.810  0.421  0.824
I  0.810  0.889  0.986
I  0.824  0.514  0.403
I  0.824  0.810  0.421
I  0.889  0.403  0.079
I  0.889  0.986  0.810
I  0.903  0.014  0.324
I  0.903  0.389  0.579
I  0.921  0.111  0.597
I  0.921  0.310  0.324
I  0.986  0.676  0.097
I  0.986  0.810  0.889